Sm5Er3Tl | GGA-PBE | optimized geometry

## Properties
Raw total energy, eV per atom: -3.997

abc: 13.7295 8.0186 11.2854
angles: 90.00 96.22 90.00
Space group C2/m (No. 12)
One atom of each set of equivalent atoms:
Sm  0.0000  0.1679  0.0000
Sm  0.0068  0.0000  0.3688
Sm  0.1274  0.2885  0.7547
Sm  0.2378  0.5000  0.0375
Er  0.0000  0.5000  0.0000
Er  0.0000  0.5000  0.5000
Er  0.1683  0.0000  0.2151
Er  0.2412  0.0000  0.5241
Tl  0.0968  0.5000  0.2599

***

Li3Dy3GaS8 | GGA-PBE | optimized geometry

## Properties
Uncorrected formation energy, eV/atom: -1.470

abc: 7.7499 7.7499 18.1187
angles: 90.00 90.00 120.00
Space group R-3m (No. 166, hexagonal axes)
One atom of each set of equivalent atoms:
Li  0.0000  0.5000  0.0000
Dy  0.0000  0.5000  0.5000
Ga  0.0000  0.0000  0.5000
S  0.0000  0.0000  0.2511
S  0.0252  0.5126  0.2468

***

Sc2BeP | GGA-PBE | optimized geometry

## Properties
Energy relative to the lowest polymorph listed for this composition, meV/atom: 326.5

abc: 6.3684 3.6701 6.7368
angles: 90.00 108.28 90.00
Space group C2/m (No. 12)
One atom of each set of equivalent atoms:
Sc  0.2438  0.0000  0.2314
Be  0.0000  0.0000  0.5000
P  0.0000  0.5000  0.0000

***

Li3ZnCd | GGA-PBE | optimized geometry

## Properties
Energy relative to the lowest polymorph listed for this composition, meV/atom: 2.2

abc: 5.4821 4.4817 7.0092
angles: 90.00 100.33 90.00
Space group P2_1/m (No. 11)
One atom of each set of equivalent atoms:
Li  0.0461  0.2500  0.3346
Li  0.2406  0.2500  0.7465
Li  0.4398  0.2500  0.1417
Zn  0.1296  0.7500  0.0430
Cd  0.3333  0.7500  0.4386

***

PrTmCd4 | GGA-PBE | optimized geometry

## Properties
Energy relative to the lowest polymorph listed for this composition, meV/atom: 58.9

abc: 8.4192 8.4192 8.4192
angles: 90.00 90.00 90.00
Space group F-43m (No. 216)
One atom of each set of equivalent atoms:
Pr  0.0000  0.0000  0.0000
Tm  0.2500  0.2500  0.7500
Cd  0.1249  0.1249  0.3751

***

SmHo2Sb3 | GGA-PBE | optimized geometry

## Properties
Uncorrected formation energy, eV/atom: -1.131

abc: 4.4033 6.2268 13.2080
angles: 90.00 90.00 90.00
Space group Immm (No. 71)
One atom of each set of equivalent atoms:
Sm  0.0000  0.0000  0.0000
Ho  0.0000  0.0000  0.3344
Sb  0.0000  0.5000  0.0000
Sb  0.0000  0.5000  0.3297

***

Rb2Pa3O9 | GGA-PBE | optimized geometry

## Properties
Uncorrected formation energy, eV/atom: -2.939

abc: 15.9826 6.3827 11.0967
angles: 90.00 104.58 90.00
Space group C2/c (No. 15)
One atom of each set of equivalent atoms:
Rb  0.0968  0.2489  0.1147
Pa  0.1056  0.2457  0.7822
Pa  0.2500  0.2500  0.5000
O  0.0000  0.4829  0.7500
O  0.0027  0.1338  0.8674
O  0.1672  0.0392  0.3664
O  0.1684  0.2651  0.6308
O  0.1845  0.4688  0.9055

***

SmEu2Tm | GGA-PBE | optimized geometry

## Properties
Energy relative to the lowest polymorph listed for this composition, meV/atom: 52.7

abc: 5.8953 5.8953 4.0904
angles: 90.00 90.00 90.00
Space group P4/mmm (No. 123)
One atom of each set of equivalent atoms:
Sm  0.0000  0.0000  0.0000
Eu  0.0000  0.5000  0.5000
Tm  0.5000  0.5000  0.0000